DFT (PBE) results for an optimized crystal structure of Pm4Ag5Sb7.

Summary:
DFT total energy: -4.513 eV/atom

Geometry as CIF:
```
data_Pm4Ag5Sb7
_symmetry_space_group_name_H-M 'I -4 2 m'
_symmetry_Int_Tables_number 121
_symmetry_space_group_name_Hall 'I -4 2'
_cell_length_a 6.132
_cell_length_b 6.132
_cell_length_c 21.476
_cell_angle_alpha 90.00
_cell_angle_beta 90.00
_cell_angle_gamma 90.00
loop_
_atom_site_label
_atom_site_type_symbol
_atom_site_fract_x
_atom_site_fract_y
_atom_site_fract_z
Pm1 Pm 0.243 0.243 0.119
Ag1 Ag 0.000 0.000 0.248
Ag2 Ag 0.000 0.000 0.500
Ag3 Ag 0.000 0.500 0.250
Sb1 Sb 0.000 0.000 0.000
Sb2 Sb 0.000 0.500 0.000
Sb3 Sb 0.243 0.243 0.341
```